The following is a DFT calculation (GGA+U) of Co4TeO8 after structural relaxation.

Summary:
calculated volume = 156 Å³/cell
density = 5.22 g/cm3
uncorrected energy = -5.80 eV per atom

Unit cell a=5.928 b=6.005 c=6.014 alpha=92.93 beta=117.04 gamma=118.98
Element x y z (fractional)
Co1 0.000 0.000 0.000
Co2 0.000 0.000 0.500
Co3 0.000 0.500 0.000
Co4 0.500 0.500 0.000
Te1 0.500 0.500 0.500
O1 0.043 0.250 0.259
O2 0.060 0.247 0.810
O3 0.493 0.704 0.758
O4 0.497 0.731 0.284
O5 0.503 0.269 0.716
O6 0.507 0.296 0.242
O7 0.940 0.753 0.190
O8 0.957 0.750 0.741